VASP calculation (PBE-GGA) on LiZrRe2 after structural relaxation.

Lattice parameters (Å, degrees): 4.4845 4.4845 4.4845 60.00 60.00 60.00
Fractional positions:
Li 0.0000 0.0000 0.0000
Zr 0.5000 0.5000 0.5000
Re 0.2500 0.2500 0.2500
Re 0.7500 0.7500 0.7500

Calculated values
SG: No. 225
Electronic total energy (eV/atom): -8.311
Spin magnetization (μB per cell): 0.0
N(E_F) (states/eV per atom): 1.16

VASP calculation (PBE-GGA) on PmDy2PaAs4 after structural relaxation.

Lattice parameters (Å, degrees): 7.1409 4.1430 7.1734 90.00 109.47 90.00
Fractional positions:
Pm 0.0000 0.0000 0.0000
Dy 0.5000 0.0000 0.5000
Dy 0.5000 0.5000 0.0000
Pa 0.0000 0.5000 0.5000
As 0.2500 0.0000 0.7448
As 0.2521 0.5000 0.2582
As 0.7479 0.5000 0.7418
As 0.7500 0.0000 0.2552

Calculated values
SG: No. 10
Electronic total energy (eV/atom): -6.669
Spin magnetization (μB per cell): 0.2
N(E_F) (states/eV per atom): 0.70